(1)
A plane-wave DFT calculation with GGA-PBE was carried out for crystalline CaGaSb at its relaxed geometry.

Cell: 5.0787 4.5023 8.3546 Å, 105.63 107.69 90.00°
Closest atoms and distances in Å follow each position.
Sites, in units of the cell vectors:
Ga  0.2667  0.5000  0.0000  1 Ga 2.37
Ga  0.7333  0.5000  0.0000  1 Ga 2.37
Sb  0.8468  0.3468  0.6935  2 Ga 2.70
Sb  0.1532  0.6532  0.3065  2 Ga 2.70
Ca  0.3616  0.8616  0.7233  5 Sb 3.18-3.40, 4 Ga 3.31
Ca  0.6384  0.1384  0.2767  5 Sb 3.18-3.40, 4 Ga 3.31

Total energy   -10.53 eV per formula unit
Calculated density   4.4 g/cm³
Energy relative to the lowest polymorph listed for this composition   200 meV/atom
Space group   Immm (71)
Total magnetic moment   0.00 μB per atom

***

(2)
A plane-wave DFT calculation with GGA-PBE was carried out for crystalline CsTmOs2O8 at its relaxed geometry.

Cell: 5.9819 5.9819 8.5088 Å, 90.00 90.00 120.00°
Closest atoms and distances in Å follow each position.
Sites, in units of the cell vectors:
O  0.6667  0.3333  0.0618  1 Os 1.77
O  0.8090  0.1460  0.3419  1 Os 1.82
O  0.1460  0.3370  0.6581  1 Os 1.82
O  0.1910  0.8540  0.6581  1 Os 1.82
O  0.3370  0.1910  0.3419  1 Os 1.82
O  0.8540  0.6630  0.3419  1 Os 1.82
O  0.6630  0.8090  0.6581  1 Os 1.82
O  0.3333  0.6667  0.9382  1 Os 1.77
Tm  0.0000  0.0000  0.5000  6 O 2.21
Os  0.6667  0.3333  0.2701  4 O 1.77-1.82
Os  0.3333  0.6667  0.7299  4 O 1.77-1.82
Cs  0.0000  0.0000  0.0000  12 O 3.40-3.49

Total energy   -86.38 eV per formula unit
Calculated density   5.1 g/cm³
Space group   P-3 (147)
Total magnetic moment   0.34 μB per atom

***

(3)
A plane-wave DFT calculation with GGA-PBE was carried out for crystalline Be3TeP at its relaxed geometry.

Cell: 4.3059 4.3059 4.3059 Å, 90.00 90.00 90.00°
Closest atoms and distances in Å follow each position.
Sites, in units of the cell vectors:
Be  0.0000  0.5000  0.0000  2 P 2.15
Be  0.0000  0.0000  0.5000  2 P 2.15
Be  0.5000  0.0000  0.0000  2 P 2.15
P  0.0000  0.0000  0.0000  6 Be 2.15
Te  0.5000  0.5000  0.5000  12 Be 3.04

Total energy   -17.60 eV per formula unit
Calculated density   3.9 g/cm³
Energy relative to the lowest polymorph listed for this composition   0 meV/atom
Space group   Pm-3m (221)
Total magnetic moment   0.00 μB per atom